CoOsNO (PBE with a Hubbard U, optimized geometry); M_tot = 1.8 Bohr magnetons per cell; energy above the most stable polymorph in this dataset = 0.093 eV per atom; raw total energy = -7.3099 eV/atom
1.0
2.757 0.000 0.000
0.000 5.688 0.000
0.000 0.000 5.347
Co Os N O
2 2 2 2
direct
0.000 0.131 0.000
0.000 0.869 0.500
0.500 0.277 0.407
0.500 0.723 0.907
0.000 0.166 0.643
0.000 0.834 0.143
0.500 0.394 0.049
0.500 0.606 0.549